Density functional theory data (PBE-GGA) for crystalline TbSm2Hg6 at its relaxed geometry.

The density of states at the Fermi level comes out at 6.57 states/eV/cell. As for the energy of formation: -0.4102 eV per atom.

Cell: 3.4578 8.6650 8.6650 Å, 120.00 90.00 90.00°
Last column: magnetic moment on the atom in μB.
Positions (direct):
Hg: 0.5000 0.3322 0.3322  0.00
Hg: 0.5000 0.6678 0.6678  0.00
Hg: 0.5000 0.6678 0.0000  0.00
Hg: 0.5000 0.0000 0.3322  0.00
Hg: 0.5000 0.3322 0.0000  0.00
Hg: 0.5000 0.0000 0.6678  0.00
Sm: 0.0000 0.3333 0.6667  0.08
Sm: 0.0000 0.6667 0.3333  0.08
Tb: 0.0000 0.0000 0.0000  0.04



Density functional theory data (PBE-GGA) for crystalline TbSm4Hg3 at its relaxed geometry.

The density of states at the Fermi level comes out at 17.58 states/eV/cell. As for the energy of formation: -0.2850 eV per atom.

Cell: 4.9378 9.2221 9.8752 Å, 90.00 90.00 90.00°
Positions (direct):
Sm: 0.0002 0.7668 0.7500
Sm: 0.5000 0.2332 0.0000
Sm: 0.5000 0.7668 0.0000
Sm: 0.9998 0.2332 0.2500
Sm: 0.5000 0.2332 0.5000
Sm: 0.0002 0.2332 0.7500
Sm: 0.9998 0.7668 0.2500
Sm: 0.5000 0.7668 0.5000
Hg: 0.0000 0.0000 0.0000
Hg: 0.4998 0.0000 0.2500
Hg: 0.5004 0.5000 0.7500
Hg: 0.5002 0.0000 0.7500
Hg: 0.4996 0.5000 0.2500
Hg: 0.0000 0.0000 0.5000
Tb: 0.0000 0.5000 0.5000
Tb: 0.0000 0.5000 0.0000



Density functional theory data (PBE-GGA) for crystalline Tb4Sm5Hg at its relaxed geometry.

The density of states at the Fermi level comes out at 12.62 states/eV/cell. As for the energy of formation: -0.0791 eV per atom.

Cell: 3.6228 3.6228 24.2444 Å, 90.00 90.00 90.00°
Positions (direct):
Tb: 0.0000 0.0000 0.6036
Tb: 0.0000 0.0000 0.3964
Tb: 0.0000 0.0000 0.1890
Tb: 0.0000 0.0000 0.8110
Sm: 0.5000 0.5000 0.9152
Sm: 0.5000 0.5000 0.0848
Sm: 0.5000 0.5000 0.7074
Sm: 0.5000 0.5000 0.2926
Sm: 0.5000 0.5000 0.5000
Hg: 0.0000 0.0000 0.0000



Calculated energy (eV per atom), listed in the same order as above: -2.17 -3.34 -4.32